No. 1
The following is a DFT calculation (GGA-PBE) of an optimized crystal structure of Ac3La2PrS6.

Calculated values
E_form (uncorrected) = -2.065 eV per atom
Uncorrected energy = -6.38 eV/atom
DOS(E_F) = 6.1 states/eV per cell
Total magnetic moment = 0.000 μB/cell

Geometry as POSCAR:
```
Ac3La2PrS6
1.0
-1.893 7.032 -0.663
-1.400 -4.699 -5.425
-5.052 -2.175 4.836
Pr S Ac La
1 6 3 2
Direct
0.000 0.000 0.000 Pr
0.080 0.412 0.239 S
0.920 0.588 0.761 S
0.748 0.748 0.240 S
0.412 0.080 0.239 S
0.252 0.252 0.760 S
0.588 0.920 0.761 S
0.833 0.167 0.500 Ac
0.167 0.833 0.500 Ac
0.500 0.500 0.500 Ac
0.334 0.666 0.000 La
0.666 0.334 0.000 La
```

No. 2
The following is a DFT calculation (GGA-PBE) of an optimized crystal structure of Ac4LaPr3S8.

Calculated values
E_form (uncorrected) = -2.029 eV per atom
Uncorrected energy = -6.32 eV/atom
DOS(E_F) = 7.6 states/eV per cell
Total magnetic moment = 0.000 μB/cell

Geometry as POSCAR:
```
Ac4LaPr3S8
1.0
-2.253 7.126 3.883
1.948 -3.440 7.444
5.727 0.196 -6.170
S Ac Pr La
8 4 3 1
Direct
0.254 0.262 0.508 S
0.247 0.739 0.493 S
0.255 0.261 0.008 S
0.746 0.738 0.492 S
0.247 0.739 0.992 S
0.753 0.261 0.507 S
0.753 0.261 0.008 S
0.745 0.739 0.992 S
0.000 0.000 0.000 Ac
0.000 0.000 0.500 Ac
0.500 0.000 0.500 Ac
0.500 0.000 0.000 Ac
0.000 0.500 0.500 Pr
0.500 0.500 0.000 Pr
0.500 0.500 0.500 Pr
0.000 0.500 0.000 La
```

No. 3
The following is a DFT calculation (GGA-PBE) of an optimized crystal structure of Ac2LaPr3S6.

Calculated values
E_form (uncorrected) = -2.042 eV per atom
Uncorrected energy = -6.40 eV/atom
DOS(E_F) = 5.7 states/eV per cell
Total magnetic moment = 0.000 μB/cell

Geometry as POSCAR:
```
Ac2LaPr3S6
1.0
-6.664 -2.668 1.006
5.672 -3.041 3.335
-0.544 6.102 3.855
S Ac Pr La
6 2 3 1
Direct
0.086 0.415 0.258 S
0.242 0.242 0.740 S
0.585 0.914 0.742 S
0.758 0.758 0.260 S
0.415 0.086 0.258 S
0.914 0.585 0.742 S
0.334 0.666 0.000 Ac
0.666 0.334 0.000 Ac
0.168 0.832 0.500 Pr
0.832 0.168 0.500 Pr
0.500 0.500 0.500 Pr
0.000 0.000 0.000 La
```

No. 4
The following is a DFT calculation (GGA-PBE) of an optimized crystal structure of AcLa2Pr3S6.

Calculated values
E_form (uncorrected) = -2.072 eV per atom
Uncorrected energy = -6.49 eV/atom
DOS(E_F) = 5.7 states/eV per cell
Total magnetic moment = 0.000 μB/cell

Geometry as POSCAR:
```
AcLa2Pr3S6
1.0
-0.969 5.345 -4.738
4.099 -5.668 -1.738
-6.494 -3.072 -0.305
S Pr La Ac
6 3 2 1
Direct
0.577 0.915 0.744 S
0.253 0.253 0.746 S
0.085 0.423 0.256 S
0.423 0.085 0.256 S
0.747 0.747 0.254 S
0.915 0.577 0.744 S
0.500 0.500 0.500 Pr
0.165 0.835 0.500 Pr
0.835 0.165 0.500 Pr
0.667 0.333 0.000 La
0.333 0.667 0.000 La
0.000 0.000 0.000 Ac
```

No. 5
The following is a DFT calculation (GGA-PBE) of an optimized crystal structure of AcLa3Pr2S6.

Calculated values
E_form (uncorrected) = -2.095 eV per atom
Uncorrected energy = -6.53 eV/atom
DOS(E_F) = 5.7 states/eV per cell
Total magnetic moment = 0.000 μB/cell

Geometry as POSCAR:
```
AcLa3Pr2S6
1.0
-3.242 -6.330 -1.263
7.171 0.295 0.810
-2.032 1.055 6.835
La S Ac Pr
3 6 1 2
Direct
0.500 0.500 0.500 La
0.166 0.834 0.500 La
0.834 0.166 0.500 La
0.744 0.744 0.251 S
0.084 0.423 0.253 S
0.916 0.577 0.747 S
0.423 0.084 0.253 S
0.256 0.256 0.749 S
0.577 0.916 0.747 S
0.000 0.000 0.000 Ac
0.333 0.667 0.000 Pr
0.667 0.333 0.000 Pr
```

No. 6
The following is a DFT calculation (GGA-PBE) of an optimized crystal structure of AcLa2PrSb4.

Calculated values
E_form (uncorrected) = -1.232 eV per atom
Uncorrected energy = -5.64 eV/atom
DOS(E_F) = 0.9 states/eV per cell
Total magnetic moment = 0.000 μB/cell

Geometry as POSCAR:
```
AcLa2PrSb4
1.0
-2.081 -0.399 4.148
4.028 -6.845 1.362
6.984 1.679 3.665
Sb Pr Ac La
4 1 1 2
Direct
0.000 0.756 0.742 Sb
0.000 0.244 0.258 Sb
0.500 0.248 0.745 Sb
0.500 0.752 0.255 Sb
0.000 0.500 0.500 Pr
0.500 0.500 0.000 Ac
0.000 0.000 0.000 La
0.500 0.000 0.500 La
```

No. 7
The following is a DFT calculation (GGA-PBE) of an optimized crystal structure of Ac3La2PrSe6.

Calculated values
E_form (uncorrected) = -1.909 eV per atom
Uncorrected energy = -5.90 eV/atom
DOS(E_F) = 6.4 states/eV per cell
Total magnetic moment = 0.000 μB/cell

Geometry as POSCAR:
```
Ac3La2PrSe6
1.0
7.589 -0.010 -0.003
-3.801 6.568 -0.003
-1.267 -2.194 7.167
Ac La Se Pr
3 2 6 1
Direct
0.167 0.833 0.500 Ac
0.833 0.167 0.500 Ac
0.500 0.500 0.500 Ac
0.666 0.334 0.000 La
0.334 0.666 0.000 La
0.748 0.748 0.240 Se
0.252 0.252 0.760 Se
0.588 0.920 0.761 Se
0.412 0.080 0.239 Se
0.080 0.412 0.239 Se
0.920 0.588 0.761 Se
0.000 0.000 0.000 Pr
```

No. 8
The following is a DFT calculation (GGA-PBE) of an optimized crystal structure of Ac3La4PrSe8.

Calculated values
E_form (uncorrected) = -1.926 eV per atom
Uncorrected energy = -5.97 eV/atom
DOS(E_F) = 10.0 states/eV per cell
Total magnetic moment = 0.000 μB/cell

Geometry as POSCAR:
```
Ac3La4PrSe8
1.0
8.733 0.000 0.000
0.000 8.738 -0.003
-4.366 -4.363 6.178
Se La Ac Pr
8 4 3 1
Direct
0.753 0.760 0.507 Se
0.751 0.244 0.501 Se
0.757 0.756 0.007 Se
0.247 0.240 0.493 Se
0.249 0.756 0.007 Se
0.751 0.244 0.993 Se
0.243 0.244 0.993 Se
0.249 0.756 0.499 Se
0.000 0.000 0.500 La
0.500 0.000 0.000 La
0.500 0.000 0.500 La
0.000 0.000 0.000 La
0.500 0.500 0.000 Ac
0.500 0.500 0.500 Ac
0.000 0.500 0.500 Ac
0.000 0.500 0.000 Pr
```

No. 9
The following is a DFT calculation (GGA-PBE) of an optimized crystal structure of AcLa2PrSe4.

Calculated values
E_form (uncorrected) = -1.924 eV per atom
Uncorrected energy = -6.01 eV/atom
DOS(E_F) = 5.4 states/eV per cell
Total magnetic moment = 0.000 μB/cell

Geometry as POSCAR:
```
AcLa2PrSe4
1.0
-0.714 3.947 -1.607
-3.964 -3.016 -5.648
-7.246 -0.486 2.025
La Se Ac Pr
2 4 1 1
Direct
0.500 0.000 0.500 La
0.000 0.000 0.000 La
0.500 0.752 0.254 Se
0.000 0.244 0.257 Se
0.500 0.248 0.746 Se
0.000 0.756 0.743 Se
0.500 0.500 0.000 Ac
0.000 0.500 0.500 Pr
```

No. 10
The following is a DFT calculation (GGA-PBE) of an optimized crystal structure of AcLa2Pr3Se6.

Calculated values
E_form (uncorrected) = -1.904 eV per atom
Uncorrected energy = -6.00 eV/atom
DOS(E_F) = 6.2 states/eV per cell
Total magnetic moment = 0.000 μB/cell

Geometry as POSCAR:
```
AcLa2Pr3Se6
1.0
-1.236 -0.455 -7.372
5.702 -3.740 3.095
-5.697 -4.132 2.480
Se Pr La Ac
6 3 2 1
Direct
0.576 0.915 0.744 Se
0.424 0.085 0.256 Se
0.085 0.424 0.256 Se
0.254 0.254 0.747 Se
0.915 0.576 0.744 Se
0.746 0.746 0.253 Se
0.164 0.836 0.500 Pr
0.836 0.164 0.500 Pr
0.500 0.500 0.500 Pr
0.667 0.333 0.000 La
0.333 0.667 0.000 La
0.000 0.000 0.000 Ac
```

No. 11
The following is a DFT calculation (GGA-PBE) of an optimized crystal structure of AcLa2Pr2Sm.

Calculated values
Formation energy from the elements = 0.039 eV/atom
Uncorrected energy = -4.67 eV/atom
DOS(E_F) = 17.7 states/eV per cell
Total magnetic moment = 0.000 μB/cell

Geometry as POSCAR:
```
AcLa2Pr2Sm
1.0
5.914 0.000 0.000
0.000 7.388 0.000
0.000 0.000 10.249
Ac Pr La Sm
2 4 4 2
Direct
0.000 0.507 0.500 Ac
0.000 0.007 0.500 Ac
0.000 0.258 0.836 Pr
0.500 0.757 0.670 Pr
0.500 0.257 0.330 Pr
0.000 0.758 0.164 Pr
0.000 0.758 0.835 La
0.500 0.508 0.000 La
0.000 0.258 0.165 La
0.500 0.008 0.000 La
0.500 0.757 0.332 Sm
0.500 0.257 0.668 Sm
```

No. 12
The following is a DFT calculation (GGA-PBE) of an optimized crystal structure of Ac6La2Pr3Sm.

Calculated values
Formation energy from the elements = 0.024 eV/atom
Uncorrected energy = -4.44 eV/atom
DOS(E_F) = 19.4 states/eV per cell
Total magnetic moment = 0.000 μB/cell

Geometry as POSCAR:
```
Ac6La2Pr3Sm
1.0
6.720 -0.004 0.003
-3.362 5.818 0.003
-1.130 -1.957 12.391
Ac Pr La Sm
6 3 2 1
Direct
0.584 0.916 0.750 Ac
0.751 0.751 0.250 Ac
0.916 0.584 0.750 Ac
0.416 0.084 0.250 Ac
0.249 0.249 0.750 Ac
0.084 0.416 0.250 Ac
0.500 0.500 0.500 Pr
0.167 0.833 0.500 Pr
0.833 0.167 0.500 Pr
0.333 0.667 0.000 La
0.667 0.333 0.000 La
0.000 0.000 0.000 Sm
```

No. 13
The following is a DFT calculation (GGA-PBE) of an optimized crystal structure of AcLaPr3Sm.

Calculated values
Formation energy from the elements = 0.159 eV/atom
Uncorrected energy = -4.52 eV/atom
DOS(E_F) = 16.8 states/eV per cell
Total magnetic moment = 0.000 μB/cell

Geometry as POSCAR:
```
AcLaPr3Sm
1.0
5.963 0.000 0.000
-2.981 10.433 1.679
0.000 -1.271 7.078
Pr Sm La Ac
6 2 2 2
Direct
0.219 0.437 0.271 Pr
0.483 0.965 0.252 Pr
0.781 0.563 0.729 Pr
0.517 0.035 0.748 Pr
0.162 0.324 0.748 Pr
0.838 0.676 0.252 Pr
0.644 0.287 0.492 Sm
0.356 0.713 0.508 Sm
0.945 0.891 0.725 La
0.055 0.109 0.275 La
0.648 0.297 0.037 Ac
0.352 0.703 0.963 Ac
```

No. 14
The following is a DFT calculation (GGA-PBE) of an optimized crystal structure of AcLa2Pr4Sm.

Calculated values
Formation energy from the elements = 0.017 eV/atom
Uncorrected energy = -4.71 eV/atom
DOS(E_F) = 13.9 states/eV per cell
Total magnetic moment = 0.000 μB/cell

Geometry as POSCAR:
```
AcLa2Pr4Sm
1.0
5.314 0.000 0.000
0.000 5.168 1.137
0.000 2.914 11.468
Ac Pr La Sm
1 4 2 1
Direct
0.500 0.500 0.000 Ac
0.500 0.744 0.256 Pr
0.000 0.757 0.744 Pr
0.000 0.243 0.256 Pr
0.500 0.256 0.744 Pr
0.500 0.000 0.500 La
0.000 0.000 0.000 La
0.000 0.500 0.500 Sm
```

No. 15
The following is a DFT calculation (GGA-PBE) of an optimized crystal structure of AcLaPr2Sm4.

Calculated values
Formation energy from the elements = 0.023 eV/atom
Uncorrected energy = -4.66 eV/atom
DOS(E_F) = 25.3 states/eV per cell
Total magnetic moment = 0.000 μB/cell

Geometry as POSCAR:
```
AcLaPr2Sm4
1.0
12.701 -0.163 -1.491
-0.224 7.001 -2.598
-7.464 -4.782 9.223
Ac Sm Pr La
2 8 4 2
Direct
0.000 0.499 0.000 Ac
0.000 0.500 0.500 Ac
0.746 0.244 0.495 Sm
0.254 0.254 0.003 Sm
0.746 0.247 0.996 Sm
0.746 0.746 0.495 Sm
0.254 0.254 0.505 Sm
0.746 0.746 0.997 Sm
0.254 0.756 0.505 Sm
0.254 0.753 0.003 Sm
0.000 0.000 0.500 Pr
0.500 0.500 0.000 Pr
0.500 0.000 0.500 Pr
0.500 0.000 0.000 Pr
0.000 0.000 0.000 La
0.500 0.500 0.500 La
```

No. 16
The following is a DFT calculation (GGA-PBE) of an optimized crystal structure of Ac2La3PrSm6.

Calculated values
Formation energy from the elements = 0.021 eV/atom
Uncorrected energy = -4.65 eV/atom
DOS(E_F) = 16.4 states/eV per cell
Total magnetic moment = 0.000 μB/cell

Geometry as POSCAR:
```
Ac2La3PrSm6
1.0
6.491 -0.003 0.004
-3.247 5.621 0.004
-1.087 -1.882 11.997
Sm Ac Pr La
6 2 1 3
Direct
0.415 0.084 0.253 Sm
0.247 0.247 0.747 Sm
0.753 0.753 0.253 Sm
0.585 0.916 0.747 Sm
0.084 0.415 0.253 Sm
0.916 0.585 0.747 Sm
0.333 0.667 0.000 Ac
0.667 0.333 0.000 Ac
0.000 0.000 0.000 Pr
0.166 0.834 0.500 La
0.500 0.500 0.500 La
0.834 0.166 0.500 La
```

No. 17
The following is a DFT calculation (GGA-PBE) of an optimized crystal structure of Ac6LaPrSm2.

Calculated values
Formation energy from the elements = 0.197 eV/atom
Uncorrected energy = -4.18 eV/atom
DOS(E_F) = 19.4 states/eV per cell
Total magnetic moment = 0.001 μB/cell

Geometry as POSCAR:
```
Ac6LaPrSm2
1.0
9.422 0.000 1.318
0.000 7.571 0.000
-2.232 -3.786 5.550
Ac La Sm Pr
6 1 2 1
Direct
0.202 0.595 0.670 Ac
0.418 0.636 0.272 Ac
0.798 0.925 0.330 Ac
0.202 0.075 0.670 Ac
0.582 0.364 0.728 Ac
0.798 0.405 0.330 Ac
0.500 0.000 0.000 La
0.156 0.091 0.182 Sm
0.844 0.909 0.818 Sm
0.000 0.500 0.000 Pr
```

No. 18
The following is a DFT calculation (GGA-PBE) of an optimized crystal structure of AcLaPr2Sm.

Calculated values
Formation energy from the elements = 0.308 eV/atom
Uncorrected energy = -4.35 eV/atom
DOS(E_F) = 13.1 states/eV per cell
Total magnetic moment = 0.000 μB/cell

Geometry as POSCAR:
```
AcLaPr2Sm
1.0
-4.802 -2.109 -5.416
4.104 -7.243 -0.818
-5.742 1.049 4.682
Ac La Sm Pr
2 2 2 4
Direct
0.750 0.244 0.489 Ac
0.250 0.756 0.511 Ac
0.750 0.941 0.882 La
0.250 0.059 0.118 La
0.750 0.695 0.390 Sm
0.250 0.305 0.610 Sm
0.000 0.302 0.000 Pr
0.000 0.698 0.000 Pr
0.500 0.302 0.000 Pr
0.500 0.698 0.000 Pr
```

No. 19
The following is a DFT calculation (GGA-PBE) of an optimized crystal structure of AcLa5Pr2Sm.

Calculated values
Formation energy from the elements = 0.218 eV/atom
Uncorrected energy = -4.56 eV/atom
DOS(E_F) = 28.7 states/eV per cell
Total magnetic moment = 0.000 μB/cell

Geometry as POSCAR:
```
AcLa5Pr2Sm
1.0
9.181 0.000 0.000
0.000 9.181 0.000
-4.590 -4.590 7.991
La Sm Pr Ac
10 2 4 2
Direct
0.435 0.333 0.268 La
0.333 0.833 0.268 La
0.500 0.500 0.000 La
0.935 0.435 0.268 La
0.167 0.065 0.732 La
0.833 0.935 0.268 La
0.667 0.167 0.732 La
0.000 0.000 0.000 La
0.065 0.565 0.732 La
0.565 0.667 0.732 La
0.750 0.250 0.500 Sm
0.250 0.750 0.500 Sm
0.618 0.118 0.000 Pr
0.382 0.882 0.000 Pr
0.882 0.618 0.000 Pr
0.118 0.382 0.000 Pr
0.250 0.250 0.500 Ac
0.750 0.750 0.500 Ac
```

No. 20
The following is a DFT calculation (GGA-PBE) of an optimized crystal structure of Ac6La2PrSm3.

Calculated values
Formation energy from the elements = 0.027 eV/atom
Uncorrected energy = -4.43 eV/atom
DOS(E_F) = 17.4 states/eV per cell
Total magnetic moment = 0.000 μB/cell

Geometry as POSCAR:
```
Ac6La2PrSm3
1.0
-1.102 -5.974 -2.823
-0.595 0.739 6.631
-11.338 4.600 -2.658
La Pr Ac Sm
2 1 6 3
Direct
0.334 0.666 0.000 La
0.666 0.334 0.000 La
0.000 0.000 0.000 Pr
0.418 0.085 0.254 Ac
0.915 0.582 0.746 Ac
0.085 0.418 0.254 Ac
0.249 0.249 0.746 Ac
0.751 0.751 0.254 Ac
0.582 0.915 0.746 Ac
0.500 0.500 0.500 Sm
0.833 0.167 0.500 Sm
0.167 0.833 0.500 Sm
```